(1)
Below is an optimized crystal structure of Hf7Au10, with properties calculated at the PBEsol level.

Summary:
- DFT total energy (eV/atom) = -7.254
- calculated volume (Å³/atom) = 18.35
- space group = Cmce (64)

Lattice parameters (Å, degrees): 8.1864 8.1864 9.7414 90.00 90.00 107.10
Sites, in units of the cell vectors:
Hf  0.3101  0.6899  0.0000
Hf  0.6899  0.3101  0.0000
Hf  0.1899  0.8101  0.5000
Hf  0.8101  0.1899  0.5000
Hf  0.0000  0.0000  0.0000
Hf  0.5000  0.5000  0.5000
Hf  0.5060  0.0060  0.7500
Hf  0.4940  0.9940  0.2500
Hf  0.9940  0.4940  0.2500
Hf  0.0060  0.5060  0.7500
Hf  0.3119  0.3119  0.8103
Hf  0.6881  0.6881  0.1897
Hf  0.1881  0.1881  0.3103
Hf  0.8119  0.8119  0.6897
Au  0.1508  0.8588  0.7923
Au  0.8492  0.1412  0.2077
Au  0.3492  0.6412  0.2923
Au  0.3588  0.6508  0.7077
Au  0.6508  0.3588  0.7077
Au  0.6412  0.3492  0.2923
Au  0.1412  0.8492  0.2077
Au  0.8588  0.1508  0.7923
Au  0.6475  0.9408  0.9980
Au  0.3525  0.0592  0.0020
Au  0.8525  0.5592  0.4980
Au  0.4408  0.1475  0.5020
Au  0.1475  0.4408  0.5020
Au  0.5592  0.8525  0.4980
Au  0.0592  0.3525  0.0020
Au  0.9408  0.6475  0.9980
Au  0.1048  0.1048  0.6023
Au  0.8952  0.8952  0.3977
Au  0.3952  0.3952  0.1023
Au  0.6048  0.6048  0.8977



(2)
Below is an optimized crystal structure of ZrTiFe2, with properties calculated at the PBEsol level.

Summary:
- DFT total energy (eV/atom) = -9.125
- calculated volume (Å³/atom) = 13.79
- space group = Fm-3m (225)

Lattice parameters (Å, degrees): 4.2724 4.2724 4.2724 60.00 60.00 60.00
Sites, in units of the cell vectors:
Fe  0.2500  0.2500  0.2500
Fe  0.7500  0.7500  0.7500
Zr  0.5000  0.5000  0.5000
Ti  0.0000  0.0000  0.0000



(3)
Below is an optimized crystal structure of YBe2H, with properties calculated at the PBEsol level.

Summary:
- energy above the most stable polymorph in this dataset (meV per atom) = 695
- calculated volume (Å³/atom) = 13.63
- space group = Fm-3m (225)

Lattice parameters (Å, degrees): 4.2560 4.2560 4.2560 60.00 60.00 60.00
Sites, in units of the cell vectors:
Y  0.5000  0.5000  0.5000
Be  0.2500  0.2500  0.2500
Be  0.7500  0.7500  0.7500
H  0.0000  0.0000  0.0000



(4)
Below is an optimized crystal structure of BaNaI3, with properties calculated at the PBEsol level.

Summary:
- calculated volume (Å³/atom) = 38.73
- space group = Pm-3m (221)
- ΔE_f (raw) (eV/atom) = -1.320

Lattice parameters (Å, degrees): 5.7857 5.7857 5.7857 90.00 90.00 90.00
Sites, in units of the cell vectors:
I  0.0000  0.5000  0.0000
I  0.0000  0.0000  0.5000
I  0.5000  0.0000  0.0000
Na  0.0000  0.0000  0.0000
Ba  0.5000  0.5000  0.5000



(5)
Below is an optimized crystal structure of Ca2MnAs, with properties calculated at the PBEsol level.

Summary:
- DFT total energy (eV/atom) = -5.141
- calculated volume (Å³/atom) = 24.49
- space group = Amm2 (38)

Lattice parameters (Å, degrees): 4.1312 4.2185 6.0035 110.57 90.00 90.00
Sites, in units of the cell vectors:
As  0.5000  0.6842  0.3684
Mn  0.0000  0.8097  0.6194
Ca  0.0000  0.1067  0.2134
Ca  0.5000  0.3949  0.7898



(6)
Below is an optimized crystal structure of SiIrOs2, with properties calculated at the PBEsol level.

Summary:
- calculated volume (Å³/atom) = 13.69
- space group = Pmm2 (25)
- ΔE_f (raw) (eV/atom) = -0.003

Lattice parameters (Å, degrees): 2.7497 3.7137 5.3619 90.00 90.00 90.00
Sites, in units of the cell vectors:
Ir  0.5000  0.5000  0.7280
Os  0.0000  0.0000  0.0213
Os  0.5000  0.5000  0.2373
Si  0.0000  0.0000  0.5135



(7)
Below is an optimized crystal structure of ScBe2Re, with properties calculated at the PBEsol level.

Summary:
- energy above the most stable polymorph in this dataset (meV per atom) = 0
- calculated volume (Å³/atom) = 12.55
- space group = I4/mmm (139)

Lattice parameters (Å, degrees): 3.8098 4.3845 3.8098 115.75 90.00 115.75
Sites, in units of the cell vectors:
Sc  0.5000  0.0000  0.5000
Re  0.0000  0.0000  0.0000
Be  0.7500  0.5000  0.2500
Be  0.2500  0.5000  0.7500



(8)
Below is an optimized crystal structure of Cs3Bi2, with properties calculated at the PBEsol level.

Summary:
- DFT total energy (eV/atom) = -2.648
- calculated volume (Å³/atom) = 49.62
- space group = C2/c (15)

Lattice parameters (Å, degrees): 7.1560 7.1560 10.0183 99.97 99.97 92.49
Sites, in units of the cell vectors:
Cs  0.1546  0.8454  0.7500
Cs  0.2430  0.3407  0.0171
Cs  0.8454  0.1546  0.2500
Cs  0.3407  0.2430  0.5171
Cs  0.6593  0.7570  0.4829
Cs  0.7570  0.6593  0.9829
Bi  0.8833  0.3102  0.6597
Bi  0.1167  0.6898  0.3402
Bi  0.3102  0.8833  0.1598
Bi  0.6898  0.1167  0.8402



(9)
Below is an optimized crystal structure of CdHg2Pb, with properties calculated at the PBEsol level.

Summary:
- DFT total energy (eV/atom) = -1.551
- calculated volume (Å³/atom) = 24.43
- space group = Immm (71)

Lattice parameters (Å, degrees): 3.5149 5.4243 6.0586 116.59 106.86 90.00
Sites, in units of the cell vectors:
Pb  0.0000  0.5000  0.0000
Hg  0.7637  0.7637  0.5273
Hg  0.2363  0.2363  0.4727
Cd  0.5000  0.0000  0.0000



(10)
Below is an optimized crystal structure of Ca2Re, with properties calculated at the PBEsol level.

Summary:
- energy above the most stable polymorph in this dataset (meV per atom) = 242
- calculated volume (Å³/atom) = 23.10
- space group = P6_3/mmc (194)

Lattice parameters (Å, degrees): 5.0118 5.0118 6.3710 90.00 90.00 120.00
Sites, in units of the cell vectors:
Ca  0.0000  0.0000  0.0000
Ca  0.0000  0.0000  0.5000
Ca  0.6667  0.3333  0.2500
Ca  0.3333  0.6667  0.7500
Re  0.6667  0.3333  0.7500
Re  0.3333  0.6667  0.2500



(11)
Below is an optimized crystal structure of Li2MnHg, with properties calculated at the PBEsol level.

Summary:
- DFT total energy (eV/atom) = -3.475
- calculated volume (Å³/atom) = 15.92
- space group = P4/mmm (123)

Lattice parameters (Å, degrees): 3.8996 3.8996 4.1874 90.00 90.00 90.00
Sites, in units of the cell vectors:
Hg  0.0000  0.0000  0.5000
Li  0.0000  0.5000  0.0000
Li  0.5000  0.0000  0.0000
Mn  0.5000  0.5000  0.5000



(12)
Below is an optimized crystal structure of Tl3TcRu, with properties calculated at the PBEsol level.

Summary:
- DFT total energy (eV/atom) = -4.533
- calculated volume (Å³/atom) = 26.75
- space group = Pm-3m (221)

Lattice parameters (Å, degrees): 5.1138 5.1138 5.1138 90.00 90.00 90.00
Sites, in units of the cell vectors:
Ru  0.0000  0.0000  0.0000
Tl  0.0000  0.5000  0.0000
Tl  0.0000  0.0000  0.5000
Tl  0.5000  0.0000  0.0000
Tc  0.5000  0.5000  0.5000



(13)
Below is an optimized crystal structure of CaMg2Zn9, with properties calculated at the PBEsol level.

Summary:
- DFT total energy (eV/atom) = -1.852
- calculated volume (Å³/atom) = 16.30
- space group = R-3m (166)

Lattice parameters (Å, degrees): 5.2065 5.2065 8.8576 72.91 72.91 60.00
Sites, in units of the cell vectors:
Ca  0.0000  0.0000  0.0000
Mg  0.1419  0.1419  0.5744
Mg  0.8581  0.8581  0.4256
Zn  0.3335  0.3335  0.9996
Zn  0.6665  0.6665  0.0004
Zn  0.5000  0.5000  0.5000
Zn  0.5871  0.5871  0.7452
Zn  0.5871  0.0805  0.7452
Zn  0.0805  0.5871  0.7452
Zn  0.4129  0.4129  0.2548
Zn  0.9195  0.4129  0.2548
Zn  0.4129  0.9195  0.2548



(14)
Below is an optimized crystal structure of IrPdO2F, with properties calculated at the PBEsol level.

Summary:
- calculated volume (Å³/atom) = 12.29
- space group = P4/mmm (123)
- ΔE_f (raw) (eV/atom) = 0.684

Lattice parameters (Å, degrees): 3.9295 3.9295 3.9808 90.00 90.00 90.00
Sites, in units of the cell vectors:
Ir  0.5000  0.5000  0.5000
O  0.0000  0.5000  0.0000
O  0.5000  0.0000  0.0000
Pd  0.0000  0.0000  0.0000
F  0.0000  0.0000  0.5000



(15)
Below is an optimized crystal structure of Be3Au5, with properties calculated at the PBEsol level.

Summary:
- energy above the most stable polymorph in this dataset (meV per atom) = 3
- calculated volume (Å³/atom) = 13.79
- space group = P6_3/mcm (193)

Lattice parameters (Å, degrees): 5.2059 6.9946 6.9946 120.00 90.00 90.00
Sites, in units of the cell vectors:
Au  0.0000  0.6667  0.3333
Au  0.5000  0.3333  0.6667
Au  0.0000  0.3333  0.6667
Au  0.5000  0.6667  0.3333
Au  0.7500  0.7588  0.7588
Au  0.2500  0.2412  0.2412
Au  0.7500  0.0000  0.2412
Au  0.7500  0.2412  0.0000
Au  0.2500  0.7588  0.0000
Au  0.2500  0.0000  0.7588
Be  0.7500  0.4014  0.4014
Be  0.2500  0.5986  0.5986
Be  0.7500  0.0000  0.5986
Be  0.7500  0.5986  0.0000
Be  0.2500  0.4014  0.0000
Be  0.2500  0.0000  0.4014



(16)
Below is an optimized crystal structure of Na3CrP, with properties calculated at the PBEsol level.

Summary:
- DFT total energy (eV/atom) = -3.462
- calculated volume (Å³/atom) = 30.98
- space group = Pm-3m (221)

Lattice parameters (Å, degrees): 5.3708 5.3708 5.3708 90.00 90.00 90.00
Sites, in units of the cell vectors:
Cr  0.5000  0.5000  0.5000
Na  0.0000  0.5000  0.0000
Na  0.0000  0.0000  0.5000
Na  0.5000  0.0000  0.0000
P  0.0000  0.0000  0.0000



(17)
Below is an optimized crystal structure of Sb2TeSe2, with properties calculated at the PBEsol level.

Summary:
- energy above the most stable polymorph in this dataset (meV per atom) = 36
- calculated volume (Å³/atom) = 27.86
- space group = R-3m (166)
- ΔE_f (raw) (eV/atom) = -0.190

Lattice parameters (Å, degrees): 4.1076 4.1076 9.8245 77.93 77.93 60.00
Sites, in units of the cell vectors:
Sb  0.4047  0.4047  0.7859
Sb  0.5953  0.5953  0.2141
Te  0.0000  0.0000  0.0000
Se  0.7908  0.7908  0.6275
Se  0.2092  0.2092  0.3725



(18)
Below is an optimized crystal structure of Sc5Pb, with properties calculated at the PBEsol level.

Summary:
- DFT total energy (eV/atom) = -6.386
- calculated volume (Å³/atom) = 22.89
- space group = Cmmm (65)

Lattice parameters (Å, degrees): 4.4566 4.4729 7.2431 72.01 90.00 90.00
Sites, in units of the cell vectors:
Pb  0.0000  0.5000  0.0000
Sc  0.5000  0.3279  0.3443
Sc  0.0000  0.1636  0.6728
Sc  0.5000  0.0000  0.0000
Sc  0.0000  0.8364  0.3272
Sc  0.5000  0.6721  0.6557



(19)
Below is an optimized crystal structure of SrMg2, with properties calculated at the PBEsol level.

Summary:
- DFT total energy (eV/atom) = -1.868
- calculated volume (Å³/atom) = 30.48
- space group = Fd-3m (227)

Lattice parameters (Å, degrees): 6.3711 6.3711 6.3711 60.00 60.00 60.00
Sites, in units of the cell vectors:
Sr  0.7500  0.7500  0.7500
Sr  0.5000  0.5000  0.5000
Mg  0.1250  0.1250  0.6250
Mg  0.1250  0.6250  0.1250
Mg  0.1250  0.1250  0.1250
Mg  0.6250  0.1250  0.1250



(20)
Below is an optimized crystal structure of La5Pt, with properties calculated at the PBEsol level.

Summary:
- energy above the most stable polymorph in this dataset (meV per atom) = 3
- calculated volume (Å³/atom) = 30.87
- space group = Cm (8)

Lattice parameters (Å, degrees): 3.7114 6.4040 8.5580 107.14 90.00 106.84
Sites, in units of the cell vectors:
Pt  0.7315  0.4631  0.9487
La  0.0561  0.1122  0.0001
La  0.3695  0.7391  0.2064
La  0.6748  0.3495  0.3551
La  0.0256  0.0513  0.5858
La  0.3091  0.6182  0.7372